# Ga2PdI8 | Alexandria via LeMat-Bulk | PBE | optimized geometry
data_Ga2PdI8
_chemical_formula_sum 'Ga4 Pd2 I16'
_symmetry_space_group_name_H-M 'C 1 2/m 1'
_symmetry_Int_Tables_number 12
_cell_length_a 14.3726
_cell_length_b 9.4036
_cell_length_c 8.0492
_cell_angle_alpha 90.00
_cell_angle_beta 98.85
_cell_angle_gamma 90.00
loop_
_symmetry_equiv_pos_as_xyz
'x,y,z'
'-x,-y,-z'
'-x,y,-z'
'x,-y,z'
'x+1/2,y+1/2,z'
'-x+1/2,-y+1/2,-z'
'-x+1/2,y+1/2,-z'
'x+1/2,-y+1/2,z'
loop_
_atom_site_label
_atom_site_type_symbol
_atom_site_fract_x
_atom_site_fract_y
_atom_site_fract_z
Ga1 Ga 0.2156 0.0000 0.3357
Pd1 Pd 0.0000 0.0000 0.0000
I1 I 0.1122 0.1982 0.1533
I2 I 0.1150 0.5000 0.7110
I3 I 0.1876 0.0000 0.6390
# **Mass density**: 3.90 Mg/m³
# **Crystal system**: monoclinic
# **E_tot**: -56.40 eV for the cell shown
# **Formation energy (no corrections)**: -0.414 eV/atom